This record from the Alexandria database describes a relaxed NbV3Cu crystal. The functional is PBE.

The energy relative to the elements is 1600 meV per atom. The excess energy over the best structure of this formula in the dataset comes out at 2.14 eV/f.u. The density is 5.3 Mg/m³.

a = 4.5827 Å, b = 4.5827 Å, c = 4.5827 Å
α = 90.00°, β = 90.00°, γ = 90.00°
Closest atoms and distances in Å follow each position.
Fractional positions:
Nb 0.0000 0.0000 0.0000  6 V 2.29
Cu 0.5000 0.5000 0.5000  12 V 3.24
V 0.0000 0.5000 0.0000  2 Nb 2.29
V 0.0000 0.0000 0.5000  2 Nb 2.29
V 0.5000 0.0000 0.0000  2 Nb 2.29